Entry from the Alexandria database: an optimized crystal structure of K2CrMoO6 (PBE+U).

It has space group R-3m (No. 166, hexagonal axes), with a = 5.7372 Å, b = 5.7372 Å, c = 28.2240 Å, α = 90.00°, β = 90.00° and γ = 120.00°. The distinct sites, in fractional coordinates, are K at (0.0000, 0.0000, 0.1290), K at (0.0000, 0.0000, 0.2822), Cr at (0.0000, 0.0000, 0.4060), Mo at (0.0000, 0.0000, 0.0000), Mo at (0.0000, 0.0000, 0.5000), O at (0.0053, 0.5027, 0.7052) and O at (0.0385, 0.5193, 0.1215).

The volume is 13.4 Å³ per atom. The density of states at the Fermi level is 0.2164 states/eV per atom. The crystal system is trigonal. Its total DFT energy (no corrections) is -376.92 eV per cell. As for the theoretical density: 4.0 g cm⁻³.